[1]
This record from Alexandria describes Er7Tm2Cd2 after structural relaxation. The functional is PBE.

Geometry as POSCAR:
```
Er7Tm2Cd2
1.0
7.732 1.030 1.486
0.105 6.432 1.050
0.105 -1.275 6.391
Er Cd Tm
7 2 2
direct
0.535 0.308 0.308 Er
0.823 0.479 0.886 Er
0.177 0.114 0.521 Er
0.823 0.886 0.479 Er
0.177 0.521 0.114 Er
0.465 0.692 0.692 Er
0.000 0.000 0.000 Er
0.141 0.601 0.601 Cd
0.859 0.399 0.399 Cd
0.500 0.178 0.822 Tm
0.500 0.822 0.178 Tm
```

Values from the calculation:
The calculation puts the formation energy at 0.040 eV per atom. The value obtained for the total moment is 0.00 μB/f.u. The calculation puts the uncorrected energy at -3.8426 eV/atom.

***

[2]
This record from Alexandria describes TbSmDy4S8 after structural relaxation. The functional is PBE.

Geometry as POSCAR:
```
TbSmDy4S8
1.0
-1.474 -0.610 7.922
5.780 -2.639 4.993
3.522 5.126 5.172
S Dy Tb Sm
8 4 1 1
direct
0.779 0.241 0.739 S
0.241 0.241 0.739 S
0.756 0.756 0.258 S
0.240 0.240 0.280 S
0.757 0.757 0.728 S
0.229 0.756 0.258 S
0.241 0.779 0.739 S
0.756 0.229 0.258 S
0.501 0.000 0.500 Dy
0.625 0.625 0.125 Dy
0.000 0.000 0.500 Dy
0.000 0.501 0.500 Dy
0.000 0.000 0.001 Tb
0.375 0.375 0.876 Sm
```

Values from the calculation:
The value obtained for the total moment is 0.00 μB/f.u. The calculation puts the uncorrected energy at -6.2729 eV/atom.

***

[3]
This record from Alexandria describes SrCd3AgHg after structural relaxation. The functional is PBE.

Geometry as POSCAR:
```
SrCd3AgHg
1.0
-4.957 -2.135 -3.562
4.195 -4.038 -3.416
-3.268 -3.243 6.491
Cd Hg Ag Sr
6 2 2 2
direct
0.000 0.290 0.000 Cd
0.000 0.710 0.000 Cd
0.500 0.290 0.000 Cd
0.250 0.130 0.260 Cd
0.500 0.710 0.000 Cd
0.750 0.870 0.740 Cd
0.750 0.661 0.323 Hg
0.250 0.339 0.677 Hg
0.750 0.086 0.172 Ag
0.250 0.914 0.828 Ag
0.250 0.704 0.408 Sr
0.750 0.296 0.592 Sr
```

Values from the calculation:
The calculation puts the formation energy at -0.140 eV per atom. The value obtained for the total moment is 0.00 μB/f.u. The calculation puts the uncorrected energy at -1.4033 eV/atom.

***

[4]
This record from Alexandria describes HfTc2Os after structural relaxation. The functional is PBE.

Geometry as POSCAR:
```
HfTc2Os
1.0
-1.576 4.879 5.244
-7.101 -0.359 -1.800
-4.674 0.310 3.436
Tc Os Hf
4 2 2
direct
0.092 0.625 0.250 Tc
0.375 0.342 0.750 Tc
0.875 0.908 0.750 Tc
0.658 0.125 0.250 Tc
0.750 0.250 0.500 Os
0.000 0.000 0.000 Os
0.250 0.750 0.500 Hf
0.500 0.500 0.000 Hf
```

Values from the calculation:
The calculation puts the formation energy at 0.464 eV per atom. The energy above the most stable polymorph in this dataset comes out at 470 meV/atom. The value obtained for the total moment is 0.00 μB/f.u. The calculation puts the uncorrected energy at -10.0150 eV/atom.

***

[5]
This record from Alexandria describes HgWSe2 after structural relaxation. The functional is PBE.

Geometry as POSCAR:
```
HgWSe2
1.0
3.314 0.000 0.000
0.000 4.844 0.000
0.000 0.000 4.844
Hg W Se
1 1 2
direct
0.500 0.000 0.500 Hg
0.500 0.500 0.000 W
0.000 0.500 0.500 Se
0.000 0.000 0.000 Se
```

Values from the calculation:
The value obtained for the total moment is 1.82 μB/f.u. The calculation puts the uncorrected energy at -4.2382 eV/atom.

***

[6]
This record from Alexandria describes SiMoPt2 after structural relaxation. The functional is PBE.

Geometry as POSCAR:
```
SiMoPt2
1.0
-4.565 -2.965 -2.573
0.858 -0.623 4.746
-2.577 0.868 0.585
Pt Si Mo
2 1 1
direct
0.500 0.000 0.500 Pt
0.000 0.000 0.000 Pt
0.000 0.500 0.500 Si
0.500 0.500 0.000 Mo
```

Values from the calculation:
The value obtained for the total moment is 0.35 μB/f.u. The calculation puts the uncorrected energy at -7.2802 eV/atom.

***

[7]
This record from Alexandria describes ScNb2AlC after structural relaxation. The functional is PBE.

Geometry as POSCAR:
```
ScNb2AlC
1.0
4.315 0.000 0.000
0.000 4.315 0.000
0.000 0.000 4.448
Nb Sc Al C
2 1 1 1
direct
0.500 0.000 0.000 Nb
0.000 0.500 0.000 Nb
0.000 0.000 0.500 Sc
0.500 0.500 0.500 Al
0.000 0.000 0.000 C
```

Values from the calculation:
The calculation puts the formation energy at -0.336 eV per atom. The value obtained for the total moment is 0.00 μB/f.u. The calculation puts the uncorrected energy at -8.2236 eV/atom.

***

[8]
This record from Alexandria describes KLi2VBi after structural relaxation. The functional is PBE.

Geometry as POSCAR:
```
KLi2VBi
1.0
-2.327 -3.261 -3.370
-1.848 -3.159 4.333
-4.369 2.876 0.234
Li Bi V K
2 1 1 1
direct
0.500 0.000 0.000 Li
0.000 0.000 0.500 Li
0.500 0.500 0.500 Bi
0.000 0.000 0.000 V
0.000 0.500 0.000 K
```

Values from the calculation:
The calculation puts the formation energy at 0.880 eV per atom. The value obtained for the total moment is 4.19 μB/f.u. The calculation puts the uncorrected energy at -2.7051 eV/atom.

***

[9]
This record from Alexandria describes Ac5Tc2O12 after structural relaxation. The functional is PBE.

Geometry as POSCAR:
```
Ac5Tc2O12
1.0
-4.167 -4.089 -1.160
4.100 1.817 -5.859
4.348 -5.622 4.200
O Ac Tc
12 5 2
direct
0.395 0.306 0.074 O
0.499 0.999 0.843 O
0.089 0.694 0.926 O
0.593 0.687 0.420 O
0.094 0.687 0.420 O
0.999 0.998 0.811 O
0.407 0.313 0.580 O
0.501 0.001 0.157 O
0.605 0.694 0.926 O
0.911 0.306 0.074 O
0.906 0.313 0.580 O
0.001 0.002 0.189 O
0.684 0.368 0.833 Ac
0.000 0.000 0.500 Ac
0.314 0.627 0.649 Ac
0.316 0.632 0.167 Ac
0.686 0.373 0.351 Ac
0.788 0.000 0.000 Tc
0.212 0.000 0.000 Tc
```

Values from the calculation:
The value obtained for the total moment is 1.25 μB/f.u. The calculation puts the uncorrected energy at -8.0650 eV/atom.

***

[10]
This record from Alexandria describes CsSiPt2 after structural relaxation. The functional is PBE.

Geometry as POSCAR:
```
CsSiPt2
1.0
-0.165 -3.137 2.817
3.564 -1.794 1.372
1.464 2.885 6.458
Si Pt Cs
1 2 1
direct
0.000 0.000 0.000 Si
0.694 0.694 0.918 Pt
0.306 0.306 0.082 Pt
0.500 0.500 0.500 Cs
```

Values from the calculation:
The value obtained for the total moment is 0.00 μB/f.u. The calculation puts the uncorrected energy at -4.9933 eV/atom.

***

[11]
This record from Alexandria describes Pm3Er4Mg after structural relaxation. The functional is PBE.

Geometry as POSCAR:
```
Pm3Er4Mg
1.0
3.418 0.000 -0.827
-1.189 10.399 -4.911
0.215 -2.447 8.365
Er Mg Pm
4 1 3
direct
0.366 0.621 0.732 Er
0.634 0.379 0.268 Er
0.366 0.111 0.732 Er
0.634 0.889 0.268 Er
0.500 0.000 0.000 Mg
0.766 0.766 0.532 Pm
0.000 0.500 0.000 Pm
0.234 0.234 0.468 Pm
```

Values from the calculation:
The calculation puts the formation energy at 0.087 eV per atom. The value obtained for the total moment is 0.00 μB/f.u. The calculation puts the uncorrected energy at -4.1749 eV/atom.

***

[12]
This record from Alexandria describes Na5HgAu4 after structural relaxation. The functional is PBE.

Geometry as POSCAR:
```
Na5HgAu4
1.0
-3.585 -0.109 -0.831
-0.265 -3.316 1.577
-3.582 7.184 14.504
Na Au Hg
5 4 1
direct
0.500 0.500 0.500 Na
0.500 0.500 0.309 Na
0.500 0.500 0.116 Na
0.500 0.500 0.691 Na
0.500 0.500 0.884 Na
0.000 0.000 0.786 Au
0.000 0.000 0.405 Au
0.000 0.000 0.214 Au
0.000 0.000 0.595 Au
0.000 0.000 0.000 Hg
```

Values from the calculation:
The calculation puts the formation energy at -0.270 eV per atom. The value obtained for the total moment is 0.00 μB/f.u. The calculation puts the uncorrected energy at -2.2708 eV/atom.

***

Please write out number 1 again, unchanged.
This record from Alexandria describes Er7Tm2Cd2 after structural relaxation. The functional is PBE.

Geometry as POSCAR:
```
Er7Tm2Cd2
1.0
7.732 1.030 1.486
0.105 6.432 1.050
0.105 -1.275 6.391
Er Cd Tm
7 2 2
direct
0.535 0.308 0.308 Er
0.823 0.479 0.886 Er
0.177 0.114 0.521 Er
0.823 0.886 0.479 Er
0.177 0.521 0.114 Er
0.465 0.692 0.692 Er
0.000 0.000 0.000 Er
0.141 0.601 0.601 Cd
0.859 0.399 0.399 Cd
0.500 0.178 0.822 Tm
0.500 0.822 0.178 Tm
```

Values from the calculation:
The calculation puts the formation energy at 0.040 eV per atom. The value obtained for the total moment is 0.00 μB/f.u. The calculation puts the uncorrected energy at -3.8426 eV/atom.

***

What did the seventh record say?
This record from Alexandria describes ScNb2AlC after structural relaxation. The functional is PBE.

Geometry as POSCAR:
```
ScNb2AlC
1.0
4.315 0.000 0.000
0.000 4.315 0.000
0.000 0.000 4.448
Nb Sc Al C
2 1 1 1
direct
0.500 0.000 0.000 Nb
0.000 0.500 0.000 Nb
0.000 0.000 0.500 Sc
0.500 0.500 0.500 Al
0.000 0.000 0.000 C
```

Values from the calculation:
The calculation puts the formation energy at -0.336 eV per atom. The value obtained for the total moment is 0.00 μB/f.u. The calculation puts the uncorrected energy at -8.2236 eV/atom.

***

Question: The highest uncorrected energy belongs to which entry?
Answer: SrCd3AgHg

***

Question: Look up the uncorrected energy of the eighth one.
Answer: -2.7051 eV/atom